(1)
DFT (PBE) results for crystalline Sn2BiOsRh at its relaxed geometry.

Cell: 5.0575 5.0575 5.2428 Å, 90.00 90.00 90.00°
Last column: nearest neighbours and their distance in Å.
Fractional positions:
Sn (0.0000, 0.5000, 0.0000)  2 Os 2.53
Sn (0.5000, 0.0000, 0.0000)  2 Os 2.53
Bi (0.0000, 0.0000, 0.5000)  2 Os 2.62
Os (0.0000, 0.0000, 0.0000)  4 Sn 2.53, 2 Bi 2.62
Rh (0.5000, 0.5000, 0.5000)  4 Bi 3.58, 8 Sn 3.64

Density, g cm⁻³: 9.16
Fermi-level density of states, states/eV per atom: 0.408
Uncorrected energy, eV per atom: -5.257
Energy of formation from the pure elements, meV per atom: 837

***

(2)
DFT (PBE) results for crystalline ReSeN2F at its relaxed geometry.

Cell: 3.9005 3.9005 3.9269 Å, 90.00 90.00 90.00°
Last column: nearest neighbours and their distance in Å.
Fractional positions:
Re (0.0000, 0.0000, 0.0000)  4 Se 2.76, 8 N 2.77
Se (0.5000, 0.5000, 0.0000)  2 F 1.96
N (0.0000, 0.5000, 0.5000)  2 F 1.95
N (0.5000, 0.0000, 0.5000)  2 F 1.95
F (0.5000, 0.5000, 0.5000)  4 N 1.95, 2 Se 1.96

E above lowest polymorph, meV per atom: 2056
Density, g cm⁻³: 8.68
Fermi-level density of states, states/eV per atom: 0.835
Uncorrected energy, eV per atom: -4.513
E_form (uncorrected), eV/atom: 2.378

***

(3)
DFT (PBE) results for crystalline Ti3BeNi12 at its relaxed geometry.

Cell: 3.5831 3.5831 14.1244 Å, 90.00 90.00 90.00°
Last column: nearest neighbours and their distance in Å.
Fractional positions:
Ti (0.0000, 0.0000, 0.0000)  12 Ni 2.53-2.55
Ti (0.0000, 0.0000, 0.2601)  12 Ni 2.52-2.59
Ti (0.0000, 0.0000, 0.7399)  12 Ni 2.52-2.59
Be (0.0000, 0.0000, 0.5000)  12 Ni 2.41-2.53
Ni (0.0000, 0.5000, 0.1281)  8 Ni 2.53-2.55, 4 Ti 2.55-2.59
Ni (0.0000, 0.5000, 0.3857)  8 Ni 2.41-2.57, 2 Be 2.41, 2 Ti 2.52
Ni (0.0000, 0.5000, 0.6143)  8 Ni 2.41-2.57, 2 Be 2.41, 2 Ti 2.52
Ni (0.0000, 0.5000, 0.8719)  8 Ni 2.53-2.55, 4 Ti 2.55-2.59
Ni (0.5000, 0.0000, 0.1281)  8 Ni 2.53-2.55, 4 Ti 2.55-2.59
Ni (0.5000, 0.0000, 0.3857)  8 Ni 2.41-2.57, 2 Be 2.41, 2 Ti 2.52
Ni (0.5000, 0.0000, 0.6143)  8 Ni 2.41-2.57, 2 Be 2.41, 2 Ti 2.52
Ni (0.5000, 0.0000, 0.8719)  8 Ni 2.53-2.55, 4 Ti 2.55-2.59
Ni (0.5000, 0.5000, 0.0000)  4 Ti 2.53, 8 Ni 2.55
Ni (0.5000, 0.5000, 0.2557)  4 Ti 2.53, 8 Ni 2.54-2.57
Ni (0.5000, 0.5000, 0.5000)  8 Ni 2.41, 4 Be 2.53
Ni (0.5000, 0.5000, 0.7443)  4 Ti 2.53, 8 Ni 2.54-2.57

Density, g cm⁻³: 7.85
Fermi-level density of states, states/eV per atom: 0.684
Uncorrected energy, eV per atom: -6.453
Energy of formation from the pure elements, meV per atom: -404

***

(4)
DFT (PBE) results for crystalline AlV2Os at its relaxed geometry.

Cell: 3.0272 3.0272 6.1775 Å, 90.00 90.00 90.00°
Last column: nearest neighbours and their distance in Å.
Fractional positions:
Al (0.0000, 0.0000, 0.0000)  8 V 2.67
V (0.5000, 0.5000, 0.2586)  4 Os 2.61, 4 Al 2.67
V (0.5000, 0.5000, 0.7414)  4 Os 2.61, 4 Al 2.67
Os (0.0000, 0.0000, 0.5000)  8 V 2.61

Density, g cm⁻³: 9.36
Fermi-level density of states, states/eV per atom: 1.079
Uncorrected energy, eV per atom: -8.477
Energy of formation from the pure elements, meV per atom: -174

***

(5)
DFT (PBE) results for crystalline Y4Fe3C5 at its relaxed geometry.

Cell: 5.8974 5.8974 9.5342 Å, 113.02 113.02 36.93°
Last column: nearest neighbours and their distance in Å.
Fractional positions:
Y (0.1054, 0.1054, 0.3970)  3 C 2.39-2.63
Y (0.2543, 0.2543, 0.8317)  5 C 2.53-2.68
Y (0.7457, 0.7457, 0.1683)  5 C 2.53-2.68
Y (0.8946, 0.8946, 0.6030)  3 C 2.39-2.63
Fe (0.0000, 0.0000, 0.0000)  2 C 1.87
Fe (0.4574, 0.4574, 0.1655)  2 C 1.81-1.83
Fe (0.5426, 0.5426, 0.8345)  2 C 1.81-1.83
C (0.3163, 0.3163, 0.3892)  1 C 1.36
C (0.3984, 0.3984, 0.3163)  1 C 1.36
C (0.5000, 0.5000, 0.0000)  4 Fe 1.83-1.87
C (0.6016, 0.6016, 0.6837)  1 C 1.36
C (0.6837, 0.6837, 0.6108)  1 C 1.36

Density, g cm⁻³: 5.34
Fermi-level density of states, states/eV per atom: 0.534
Uncorrected energy, eV per atom: -8.345
Energy of formation from the pure elements, meV per atom: -231

***

(6)
DFT (PBE) results for crystalline Na2TmSi2O6 at its relaxed geometry.

Cell: 5.5463 5.5463 7.2387 Å, 90.00 90.00 120.00°
Last column: nearest neighbours and their distance in Å.
Fractional positions:
Na (0.3333, 0.6667, 0.2966)  3 O 2.34
Na (0.6667, 0.3333, 0.7034)  3 O 2.34
Tm (0.0000, 0.0000, 0.0000)  6 O 2.24
Si (0.3333, 0.6667, 0.7969)  3 O 1.60
Si (0.6667, 0.3333, 0.2031)  3 O 1.60
O (0.0713, 0.7113, 0.8212)  1 Si 1.60
O (0.2887, 0.3601, 0.8212)  1 Si 1.60
O (0.3601, 0.0713, 0.1788)  1 Si 1.60
O (0.6399, 0.9287, 0.8212)  1 Si 1.60
O (0.7113, 0.6399, 0.1788)  1 Si 1.60
O (0.9287, 0.2887, 0.1788)  1 Si 1.60

Density, g cm⁻³: 3.16
Fermi-level density of states, states/eV per atom: 0.139
Uncorrected energy, eV per atom: -6.723
E_form (uncorrected), eV/atom: -2.386

***

Repeat the first record exactly.
DFT (PBE) results for crystalline Sn2BiOsRh at its relaxed geometry.

Cell: 5.0575 5.0575 5.2428 Å, 90.00 90.00 90.00°
Last column: nearest neighbours and their distance in Å.
Fractional positions:
Sn (0.0000, 0.5000, 0.0000)  2 Os 2.53
Sn (0.5000, 0.0000, 0.0000)  2 Os 2.53
Bi (0.0000, 0.0000, 0.5000)  2 Os 2.62
Os (0.0000, 0.0000, 0.0000)  4 Sn 2.53, 2 Bi 2.62
Rh (0.5000, 0.5000, 0.5000)  4 Bi 3.58, 8 Sn 3.64

Density, g cm⁻³: 9.16
Fermi-level density of states, states/eV per atom: 0.408
Uncorrected energy, eV per atom: -5.257
Energy of formation from the pure elements, meV per atom: 837